Entry 1:
Density functional theory data (meta-GGA SCAN) for MgSb2Cl at its PBEsol-relaxed geometry.

Cell: 3.4704 5.2467 5.1817 Å, 90.00 90.00 90.00°
Atoms (fractional coordinates):
Cl: 0.5000 0.0000 0.5000
Mg: 0.0000 0.5000 0.5000
Sb: 0.0000 0.0000 0.0000
Sb: 0.5000 0.5000 0.0000

Summary:
For the energy, the calculation gives -22.04 eV per atom.

---

Entry 2:
Density functional theory data (meta-GGA SCAN) for Hg2BiPb2 at its PBEsol-relaxed geometry.

Cell: 4.1342 4.1342 8.9435 Å, 103.36 103.36 90.00°
Atoms (fractional coordinates):
Pb: 0.4017 0.4017 0.8035
Pb: 0.5983 0.5983 0.1965
Bi: 0.0000 0.0000 0.0000
Hg: 0.2500 0.7500 0.5000
Hg: 0.7500 0.2500 0.5000

Summary:
The energy of formation from the pure elements is 0.28 eV/f.u.

---

Entry 3:
Density functional theory data (meta-GGA SCAN) for FeRe2Cl at its PBEsol-relaxed geometry.

Cell: 2.7385 2.7385 8.6819 Å, 90.00 90.00 119.05°
Atoms (fractional coordinates):
Re: 0.0000 0.0000 0.2402
Re: 0.0000 0.0000 0.7598
Fe: 0.5000 0.5000 0.0000
Cl: 0.5000 0.5000 0.5000

Summary:
For the energy, the calculation gives -41.34 eV per atom.

---

Entry 4:
Density functional theory data (meta-GGA SCAN) for ZrSc2Cd at its PBEsol-relaxed geometry.

Cell: 3.1925 4.3157 6.3369 Å, 90.00 90.00 90.00°
Atoms (fractional coordinates):
Sc: 0.0000 0.0000 0.7543
Sc: 0.0000 0.0000 0.2457
Zr: 0.5000 0.5000 0.0000
Cd: 0.5000 0.5000 0.5000

Summary:
The energy of formation from the pure elements is -0.47 eV/f.u.

---

Entry 5:
Density functional theory data (meta-GGA SCAN) for In3GePd at its PBEsol-relaxed geometry.

Cell: 5.0534 5.0534 5.0534 Å, 90.00 90.00 90.00°
Atoms (fractional coordinates):
Ge: 0.5000 0.5000 0.5000
Pd: 0.0000 0.0000 0.0000
In: 0.0000 0.5000 0.0000
In: 0.0000 0.0000 0.5000
In: 0.5000 0.0000 0.0000

Summary:
The energy of formation from the pure elements is 0.98 eV/f.u.

---

Entry 6:
Density functional theory data (meta-GGA SCAN) for Na2GaNiF7 at its PBEsol-relaxed geometry.

Cell: 7.1054 7.2270 7.2270 Å, 61.70 60.56 60.56°
Atoms (fractional coordinates):
Na: 0.5000 0.5000 0.0000
Na: 0.0000 0.0000 0.0000
Na: 0.0000 0.5000 0.0000
Na: 0.5000 0.5000 0.5000
Ga: 0.5000 0.0000 0.0000
Ga: 0.0000 0.5000 0.5000
Ni: 0.0000 0.0000 0.5000
Ni: 0.5000 0.0000 0.5000
F: 0.2500 0.8903 0.6097
F: 0.4106 0.3173 0.8614
F: 0.8148 0.9470 0.8216
F: 0.9166 0.3216 0.4470
F: 0.0894 0.6386 0.1827
F: 0.6852 0.6784 0.5530
F: 0.4166 0.9470 0.8216
F: 0.3148 0.3216 0.4470
F: 0.7500 0.1097 0.3903
F: 0.5834 0.0530 0.1784
F: 0.5894 0.6827 0.1386
F: 0.1852 0.0530 0.1784
F: 0.0834 0.6784 0.5530
F: 0.9106 0.3614 0.8173

Summary:
For the energy, the calculation gives -8.74 eV per atom.